No. 1
# Ce2DyOs | Alexandria | PBE | optimized geometry
# VASP energy: -6.88 eV per atom
# energy above the most stable polymorph in this dataset: 193 meV/atom
# calculated density: 9.0 g cm⁻³
data_Ce2DyOs
_cell_length_a 3.9563
_cell_length_b 3.9563
_cell_length_c 25.8817
_cell_angle_alpha 90.00
_cell_angle_beta 90.00
_cell_angle_gamma 120.00
_space_group_name_H-M_alt 'R 3 m'
_space_group_IT_number 160
_space_group_name_Hall 'R 3 -2"'
loop_
_atom_site_label
_atom_site_fract_x
_atom_site_fract_y
_atom_site_fract_z
Ce1 0.0000 0.0000 0.0000
Ce2 0.0000 0.0000 0.2137
Dy1 0.0000 0.0000 0.4413
Os1 0.0000 0.0000 0.6060

No. 2
# Mg14ZnB | Alexandria | PBE | optimized geometry
# VASP energy: -1.72 eV per atom
# energy above the most stable polymorph in this dataset: 30 meV/atom
# calculated density: 2.1 g cm⁻³
data_Mg14ZnB
_cell_length_a 6.2439
_cell_length_b 6.2439
_cell_length_c 9.8178
_cell_angle_alpha 90.00
_cell_angle_beta 90.00
_cell_angle_gamma 120.00
_space_group_name_H-M_alt 'P -6 m 2'
_space_group_IT_number 187
_space_group_name_Hall 'P -6 2'
loop_
_atom_site_label
_atom_site_fract_x
_atom_site_fract_y
_atom_site_fract_z
Mg1 0.0000 0.0000 0.2502
Mg2 0.0129 0.5064 0.2386
Mg3 0.3276 0.1638 0.0000
Mg4 0.3362 0.1681 0.5000
Zn1 0.3333 0.6667 0.5000
B1 0.3333 0.6667 0.0000

No. 3
# NpNbH4 | Alexandria | PBE | optimized geometry
# VASP energy: -6.24 eV per atom
# calculated density: 10.0 g cm⁻³
data_NpNbH4
_cell_length_a 5.175
_cell_length_b 5.176
_cell_length_c 8.321
_cell_angle_alpha 90.00
_cell_angle_beta 90.00
_cell_angle_gamma 90.00
_space_group_name_H-M_alt 'I m m a'
_space_group_IT_number 74
_space_group_name_Hall '-I 2b 2'
loop_
_atom_site_label
_atom_site_fract_x
_atom_site_fract_y
_atom_site_fract_z
Np1 0.000 0.250 0.122
Nb1 0.000 0.250 0.629
H1 0.208 0.000 0.500
H2 0.250 0.035 0.750

No. 4
# V3CdH | Alexandria | PBE | optimized geometry
# VASP energy: -6.19 eV per atom
# energy above the most stable polymorph in this dataset: 0 meV/atom
# calculated density: 7.2 g cm⁻³
data_V3CdH
_cell_length_a 3.953
_cell_length_b 3.953
_cell_length_c 3.953
_cell_angle_alpha 90.00
_cell_angle_beta 90.00
_cell_angle_gamma 90.00
_space_group_name_H-M_alt 'P m -3 m'
_space_group_IT_number 221
_space_group_name_Hall '-P 4 2 3'
loop_
_atom_site_label
_atom_site_fract_x
_atom_site_fract_y
_atom_site_fract_z
V1 0.000 0.000 0.500
Cd1 0.500 0.500 0.500
H1 0.000 0.000 0.000

No. 5
# Pa2MnCuN5 | Alexandria | PBE | optimized geometry
# formation energy without anion corrections: -811 meV per atom
# VASP energy: -9.02 eV per atom
# calculated density: 10.6 g cm⁻³
data_Pa2MnCuN5
_cell_length_a 3.304
_cell_length_b 14.051
_cell_length_c 8.797
_cell_angle_alpha 90.00
_cell_angle_beta 90.00
_cell_angle_gamma 90.00
_space_group_name_H-M_alt 'C m c m'
_space_group_IT_number 63
_space_group_name_Hall '-C 2c 2'
loop_
_atom_site_label
_atom_site_fract_x
_atom_site_fract_y
_atom_site_fract_z
Pa1 0.000 0.129 0.030
Mn1 0.000 0.221 0.750
Cu1 0.000 0.489 0.250
N1 0.000 0.088 0.750
N2 0.000 0.287 0.107
N3 0.000 0.364 0.750
N4 0.000 0.500 0.000

No. 6
# La3PmCu4 | Alexandria | PBE | optimized geometry
# VASP energy: -4.63 eV per atom
# calculated density: 7.1 g cm⁻³
data_La3PmCu4
_cell_length_a 5.156
_cell_length_b 5.156
_cell_length_c 7.228
_cell_angle_alpha 90.00
_cell_angle_beta 90.00
_cell_angle_gamma 90.00
_space_group_name_H-M_alt 'P 4/m m m'
_space_group_IT_number 123
_space_group_name_Hall '-P 4 2'
loop_
_atom_site_label
_atom_site_fract_x
_atom_site_fract_y
_atom_site_fract_z
La1 0.000 0.000 0.000
La2 0.000 0.000 0.500
La3 0.500 0.500 0.000
Pm1 0.500 0.500 0.500
Cu1 0.000 0.500 0.258

No. 7
# NaZnCoIr2 | Alexandria | PBE | optimized geometry
# VASP energy: -3.46 eV per atom
# calculated density: 10.0 g cm⁻³
data_NaZnCoIr2
_cell_length_a 4.583
_cell_length_b 4.583
_cell_length_c 4.183
_cell_angle_alpha 90.00
_cell_angle_beta 90.00
_cell_angle_gamma 90.00
_space_group_name_H-M_alt 'P 4/m m m'
_space_group_IT_number 123
_space_group_name_Hall '-P 4 2'
loop_
_atom_site_label
_atom_site_fract_x
_atom_site_fract_y
_atom_site_fract_z
Na1 0.000 0.000 0.000
Zn1 0.500 0.500 0.500
Co1 0.000 0.000 0.500
Ir1 0.000 0.500 0.000

No. 8
# CaMn2Sn | Alexandria | PBE | optimized geometry
# VASP energy: -5.58 eV per atom
# calculated density: 4.5 g cm⁻³
data_CaMn2Sn
_cell_length_a 8.031
_cell_length_b 8.031
_cell_length_c 6.114
_cell_angle_alpha 90.00
_cell_angle_beta 90.00
_cell_angle_gamma 90.00
_space_group_name_H-M_alt 'I -4 2 d'
_space_group_IT_number 122
_space_group_name_Hall 'I -4 2bw'
loop_
_atom_site_label
_atom_site_fract_x
_atom_site_fract_y
_atom_site_fract_z
Ca1 0.000 0.000 0.000
Mn1 0.208 0.250 0.625
Sn1 0.000 0.000 0.500

Among the records above, which one has the highest VASP energy? Mg14ZnB

Number 8 is which compound? CaMn2Sn

Please write out number 4 again, unchanged.
# V3CdH | Alexandria | PBE | optimized geometry
# VASP energy: -6.19 eV per atom
# energy above the most stable polymorph in this dataset: 0 meV/atom
# calculated density: 7.2 g cm⁻³
data_V3CdH
_cell_length_a 3.953
_cell_length_b 3.953
_cell_length_c 3.953
_cell_angle_alpha 90.00
_cell_angle_beta 90.00
_cell_angle_gamma 90.00
_space_group_name_H-M_alt 'P m -3 m'
_space_group_IT_number 221
_space_group_name_Hall '-P 4 2 3'
loop_
_atom_site_label
_atom_site_fract_x
_atom_site_fract_y
_atom_site_fract_z
V1 0.000 0.000 0.500
Cd1 0.500 0.500 0.500
H1 0.000 0.000 0.000

What is the calculated density in the fifth record? 10.6 g cm⁻³